The following is a PBE calculation of crystalline ZnGaIN2 at its relaxed geometry, from Alexandria via LeMat-Bulk.

Computed properties:
Energy relative to the lowest polymorph listed for this composition, eV per atom: 0.000
DFT total energy, eV/atom: -3.34
ΔE_f (raw), eV/atom: 1.16
SG: P4/mmm (123)

Cell: 3.8603 3.8603 6.9516 Å, 90.00 90.00 90.00°
With the nearest neighbours (Å) after each atom.
Fractional coordinates of all 5 atoms:
Zn1 0.0000 0.0000 0.0000  4 I 2.73
Ga1 0.5000 0.5000 0.5000  4 N 1.93
I1 0.5000 0.5000 0.0000  4 Zn 2.73
N1 0.0000 0.5000 0.5000  2 Ga 1.93
N2 0.5000 0.0000 0.5000  2 Ga 1.93